Entry from Alexandria via LeMat-Bulk: crystalline TiReP2 at its relaxed geometry (PBE).

Properties
- final energy (eV for the cell shown) = -33.260
- total magnetization (μB/cell) = 0.0
- formation enthalpy at 0 K (eV/atom) = -0.5243
- excess energy over the best structure of this formula in the dataset (meV/atom) = 0.0
- calculated volume (Å³/f.u.) = 60.62

Lattice parameters (Å, degrees): 5.8014 5.8014 5.8014 36.09 36.09 36.09
Sites, in units of the cell vectors:
Ti 0.0000 0.0000 0.0000
Re 0.8212 0.8212 0.8212
P 0.4197 0.4197 0.4197
P 0.5735 0.5735 0.5735